(1)
## BaTlP (PBE)

Data for crystalline BaTlP at its relaxed geometry.

Results
Excess energy over the best structure of this formula in the dataset, eV/atom: 0.016
Total moment, Bohr magnetons per cell: 0.0
Energy, eV/atom: -3.841

a = 4.5270 Å, b = 4.5270 Å, c = 5.6074 Å
α = 90.00°, β = 90.00°, γ = 120.00°
Space group P3m1 (No. 156)
Asymmetric unit:
1 Ba 0.0000 0.0000 0.0000 [1 per cell]
2 Tl 0.3333 0.6667 0.5428 [1 per cell]
3 P 0.6667 0.3333 0.3106 [1 per cell]

(2)
## Hf2SnRh3 (PBE)

Data for crystalline Hf2SnRh3 at its relaxed geometry.

Results
Total moment, Bohr magnetons per cell: 0.0
Energy, eV/atom: -8.471

a = 4.5928 Å, b = 4.5928 Å, c = 11.4260 Å
α = 90.00°, β = 90.00°, γ = 120.00°
Space group P-3m1 (No. 164)
Asymmetric unit:
1 Hf 0.0000 0.0000 0.0000 [1 per cell]
2 Hf 0.0000 0.0000 0.5000 [1 per cell]
3 Hf 0.3333 0.6667 0.1729 [2 per cell]
4 Sn 0.3333 0.6667 0.6668 [2 per cell]
5 Rh 0.0000 0.0000 0.2364 [2 per cell]
6 Rh 0.3333 0.6667 0.4248 [2 per cell]
7 Rh 0.3333 0.6667 0.9246 [2 per cell]

(3)
## Mg8Al2Tl (PBE)

Data for crystalline Mg8Al2Tl at its relaxed geometry.

Results
Total moment, Bohr magnetons per cell: 0.0
Energy, eV/atom: -2.017

a = 19.452 Å, b = 4.984 Å, c = 5.275 Å
α = 90.00°, β = 102.44°, γ = 90.00°
Space group C2/m (No. 12)
Asymmetric unit:
1 Mg 0.082 0.000 0.176 [4 per cell]
2 Mg 0.083 0.500 0.560 [4 per cell]
3 Mg 0.170 0.500 0.098 [4 per cell]
4 Mg 0.250 0.000 0.326 [4 per cell]
5 Al 0.169 0.000 0.745 [4 per cell]
6 Tl 0.000 0.500 0.000 [2 per cell]

(4)
## KTlIn2Fe (PBE)

Data for crystalline KTlIn2Fe at its relaxed geometry.

Results
Total moment, Bohr magnetons per cell: 0.1
Energy, eV/atom: -3.432

a = 5.089 Å, b = 5.089 Å, c = 5.187 Å
α = 90.00°, β = 90.00°, γ = 90.00°
Space group P4/mmm (No. 123)
Asymmetric unit:
1 K 0.000 0.000 0.000 [1 per cell]
2 Tl 0.500 0.500 0.000 [1 per cell]
3 In 0.000 0.500 0.500 [2 per cell]
4 Fe 0.500 0.500 0.500 [1 per cell]

(5)
## ZrCoCuW2 (PBE)

Data for crystalline ZrCoCuW2 at its relaxed geometry.

Results
Total moment, Bohr magnetons per cell: 0.0
Energy, eV/atom: -7.399

a = 4.476 Å, b = 4.476 Å, c = 4.777 Å
α = 90.00°, β = 90.00°, γ = 90.00°
Space group P4/mmm (No. 123)
Asymmetric unit:
1 Zr 0.000 0.000 0.000 [1 per cell]
2 Co 0.500 0.500 0.000 [1 per cell]
3 Cu 0.000 0.000 0.500 [1 per cell]
4 W 0.000 0.500 0.500 [2 per cell]

(6)
## TiSeBr (PBE)

Data for crystalline TiSeBr at its relaxed geometry.

Results
Total moment, Bohr magnetons per cell: 4.0
Energy, eV/atom: -5.531
Energy relative to the elements, uncorrected, eV/atom: -1.180

a = 14.549 Å, b = 3.641 Å, c = 6.385 Å
α = 90.00°, β = 105.94°, γ = 90.00°
Space group C2/m (No. 12)
Asymmetric unit:
1 Ti 0.246 0.000 0.291 [4 per cell]
2 Se 0.133 0.500 0.342 [4 per cell]
3 Br 0.147 0.000 0.852 [4 per cell]

(7)
## BeAsPd2O (PBE)

Data for crystalline BeAsPd2O at its relaxed geometry.

Results
Total moment, Bohr magnetons per cell: 0.0
Energy, eV/atom: -4.255
Energy relative to the elements, uncorrected, eV/atom: 0.489

a = 4.228 Å, b = 4.228 Å, c = 4.120 Å
α = 90.00°, β = 90.00°, γ = 90.00°
Space group P4/mmm (No. 123)
Asymmetric unit:
1 Be 0.000 0.000 0.000 [1 per cell]
2 As 0.000 0.000 0.500 [1 per cell]
3 Pd 0.000 0.500 0.000 [2 per cell]
4 O 0.500 0.500 0.500 [1 per cell]

(8)
## Pr6Si2SbBr3 (PBE)

Data for crystalline Pr6Si2SbBr3 at its relaxed geometry.

Results
Total moment, Bohr magnetons per cell: 0.0
Energy, eV/atom: -5.192
Energy relative to the elements, uncorrected, eV/atom: -1.137

a = 19.378 Å, b = 4.376 Å, c = 8.918 Å
α = 90.00°, β = 104.19°, γ = 90.00°
Space group C2/m (No. 12)
Asymmetric unit:
1 Pr 0.017 0.000 0.256 [4 per cell]
2 Pr 0.169 0.500 0.125 [4 per cell]
3 Pr 0.175 0.500 0.567 [4 per cell]
4 Si 0.169 0.000 0.341 [4 per cell]
5 Sb 0.000 0.500 0.000 [2 per cell]
6 Br 0.000 0.500 0.500 [2 per cell]
7 Br 0.165 0.000 0.836 [4 per cell]

Number 5 is which compound?
ZrCoCuW2

Which value of energy does entry 3 give?
-2.017 eV/atom